VASP calculation (PBE) on CaMg5Cu after structural relaxation.

abc: 4.214 4.214 9.899
angles: 90.00 90.00 90.00
Sites, in units of the cell vectors:
Ca 0.000 0.000 0.000
Mg 0.000 0.000 0.500
Mg 0.000 0.500 0.286
Mg 0.000 0.500 0.714
Mg 0.500 0.000 0.286
Mg 0.500 0.000 0.714
Cu 0.500 0.500 0.500

Calculated values
* total DFT energy (no corrections): -13.431 eV for the cell shown
* total moment: 0.00 μB/f.u.
* energy relative to the elements: 0.64 eV/f.u.
* energy above the most stable polymorph in this dataset: 0.43 eV per formula unit